1.
Density functional theory data (PBE) for a relaxed structure of CaMoP2.

Properties
Space group: Cmmm
Crystal system: orthorhombic
Formation energy (eV per atom): -0.04
E (eV/cell): -23.8
Calculated volume (Å³ per atom): 16.7
Calculated density (g/cm³): 4.92
Energy relative to the lowest polymorph listed for this composition (meV per atom): 696.6

a b c (Å): 4.5433 4.5433 3.2769
angles (deg): 90.00 90.00 98.93
Positions (direct):
Ca: 0.0000 0.0000 0.0000
Mo: 0.5000 0.5000 0.0000
P: 0.0000 0.5000 0.5000
P: 0.5000 0.0000 0.5000



2.
Density functional theory data (PBE) for a relaxed structure of CaMo2P.

Properties
Space group: Cmmm
Crystal system: orthorhombic
Formation energy (eV per atom): 0.32
E (eV/cell): -27.8
Calculated volume (Å³ per atom): 18.0
Calculated density (g/cm³): 6.06

a b c (Å): 2.9894 2.9894 8.5426
angles (deg): 90.00 90.00 109.41
Positions (direct):
Ca: 0.0000 0.0000 0.0000
Mo: 0.5000 0.5000 0.3093
Mo: 0.5000 0.5000 0.6907
P: 0.0000 0.0000 0.5000



3.
Density functional theory data (PBE) for a relaxed structure of CaMo3P.

Properties
Space group: Pm-3m
Crystal system: cubic
Formation energy (eV per atom): 0.48
E (eV/cell): -37.5
Calculated volume (Å³ per atom): 19.3
Calculated density (g/cm³): 6.17
Energy relative to the lowest polymorph listed for this composition (meV per atom): 0.0

a b c (Å): 4.5880 4.5880 4.5880
angles (deg): 90.00 90.00 90.00
Positions (direct):
Ca: 0.0000 0.0000 0.0000
Mo: 0.0000 0.5000 0.5000
Mo: 0.5000 0.0000 0.5000
Mo: 0.5000 0.5000 0.0000
P: 0.5000 0.5000 0.5000